(1)
Entry from Alexandria: an optimized crystal structure of Ho3ZnC (GGA-PBE).

a = 4.8524 Å, b = 4.8524 Å, c = 4.8524 Å
α = 90.00°, β = 90.00°, γ = 90.00°
Each line ends with the local moment (μB).
Fractional coordinates of all 5 atoms:
Ho 0.5000 0.0000 0.0000  0.12
Ho 0.0000 0.0000 0.5000  0.12
Ho 0.0000 0.5000 0.0000  0.12
Zn 0.5000 0.5000 0.5000  0.05
C 0.0000 0.0000 0.0000  -0.01

The density of states at the Fermi level comes out at 6.05 states/eV/f.u. The energy relative to the lowest polymorph listed for this composition is 0.11 eV/f.u. The value obtained for the calculated formation energy is -1.2 eV per formula unit.



(2)
Entry from Alexandria: an optimized crystal structure of Hf4GeMo (GGA-PBE).

a = 7.2411 Å, b = 7.2411 Å, c = 7.2411 Å
α = 111.68°, β = 111.68°, γ = 105.15°
Fractional coordinates of all 12 atoms:
Hf 0.2451 0.5532 0.3082
Hf 0.7548 0.4380 0.6832
Hf 0.1880 0.0048 0.1832
Hf 0.2451 0.9369 0.6918
Hf 0.7548 0.0716 0.3168
Hf 0.6869 0.4951 0.1918
Hf 0.8216 0.0048 0.8168
Hf 0.3032 0.4951 0.8082
Mo 0.0021 0.5021 0.5000
Mo 0.2521 0.2521 0.0000
Ge 0.4981 0.9981 0.5000
Ge 0.7481 0.7481 0.0000

The density of states at the Fermi level comes out at 5.87 states/eV/f.u. The value obtained for the calculated formation energy is 2.8 eV per formula unit.



(3)
Entry from Alexandria: an optimized crystal structure of Pm2NpSi3Pt4 (GGA-PBE).

a = 4.2685 Å, b = 4.2685 Å, c = 10.8145 Å
α = 90.00°, β = 90.00°, γ = 90.00°
Each line ends with the local moment (μB).
Fractional coordinates of all 10 atoms:
Si 0.5000 0.0000 0.8823  0.01
Si 0.0000 0.0000 0.5000  -0.04
Si 0.0000 0.5000 0.1177  0.01
Pt 0.0000 0.5000 0.3379  -0.03
Pt 0.0000 0.0000 0.0000  0.01
Pt 0.5000 0.0000 0.6621  -0.03
Pt 0.5000 0.5000 0.0000  0.01
Pm 0.5000 0.0000 0.2286  0.06
Pm 0.0000 0.5000 0.7714  0.06
Np 0.5000 0.5000 0.5000  3.59

The density of states at the Fermi level comes out at 10.82 states/eV/f.u. The calculation puts the uncorrected formation energy at -0.907 eV/atom.



(4)
Entry from Alexandria: an optimized crystal structure of DyThSn2 (GGA-PBE).

a = 3.5145 Å, b = 3.5145 Å, c = 8.9100 Å
α = 90.00°, β = 90.00°, γ = 90.00°
Fractional coordinates of all 4 atoms:
Th 0.5000 0.5000 0.5000
Dy 0.5000 0.5000 0.0000
Sn 0.0000 0.0000 0.7584
Sn 0.0000 0.0000 0.2416

The density of states at the Fermi level comes out at 3.20 states/eV/f.u. The energy relative to the lowest polymorph listed for this composition is 0.25 eV/f.u. The value obtained for the calculated formation energy is -2.2 eV per formula unit.



(5)
Entry from Alexandria: an optimized crystal structure of TlCoNiBr6 (GGA-PBE).

a = 6.4813 Å, b = 6.4813 Å, c = 7.3927 Å
α = 90.00°, β = 90.00°, γ = 60.00°
Each line ends with the local moment (μB).
Fractional coordinates of all 9 atoms:
Co 0.3333 0.3333 0.5000  0.02
Ni 0.6666 0.6667 0.5000  1.29
Br 0.3629 0.0128 0.6877  0.07
Br 0.3629 0.6243 0.3123  0.07
Br 0.6243 0.0128 0.3123  0.07
Br 0.6243 0.3629 0.6877  0.07
Br 0.0128 0.3629 0.3123  0.07
Br 0.0128 0.6243 0.6876  0.07
Tl 0.0000 0.0000 0.0000  0.01

The calculation puts the uncorrected formation energy at -0.410 eV/atom.



(6)
Entry from Alexandria: an optimized crystal structure of LiErBe2H8 (GGA-PBE).

a = 4.3626 Å, b = 4.3626 Å, c = 6.3640 Å
α = 90.00°, β = 90.00°, γ = 120.00°
Fractional coordinates of all 12 atoms:
H 0.7563 0.0775 0.2822
H 0.0775 0.3212 0.7178
H 0.2437 0.9225 0.7178
H 0.3333 0.6667 0.0026
H 0.6667 0.3333 0.9974
H 0.3212 0.2437 0.2822
H 0.9225 0.6788 0.2822
H 0.6788 0.7563 0.7178
Be 0.6667 0.3333 0.2283
Be 0.3333 0.6667 0.7717
Li 0.0000 0.0000 0.5000
Er 0.0000 0.0000 0.0000

The density of states at the Fermi level comes out at 0.00 states/eV/f.u.



(7)
Entry from Alexandria: an optimized crystal structure of PmPr8Sm6 (GGA-PBE).

a = 9.5001 Å, b = 9.5001 Å, c = 8.7453 Å
α = 57.10°, β = 57.10°, γ = 60.00°
Fractional coordinates of all 15 atoms:
Sm 0.4430 0.8932 0.9266
Sm 0.1068 0.2629 0.0734
Sm 0.7371 0.4430 0.9266
Sm 0.8932 0.7371 0.9266
Sm 0.2629 0.5570 0.0734
Sm 0.5570 0.1068 0.0734
Pm 0.0000 0.0000 0.0000
Pr 0.2284 0.9162 0.5156
Pr 0.7716 0.0838 0.4844
Pr 0.0838 0.6602 0.4844
Pr 0.9162 0.3398 0.5156
Pr 0.3398 0.2284 0.5156
Pr 0.6602 0.7716 0.4844
Pr 0.5731 0.5731 0.2806
Pr 0.4269 0.4269 0.7194

The density of states at the Fermi level comes out at 21.94 states/eV/f.u. The energy relative to the lowest polymorph listed for this composition is 0.00 eV/f.u. The value obtained for the calculated formation energy is 2.1 eV per formula unit.



(8)
Entry from Alexandria: an optimized crystal structure of KNb2PdO6 (GGA-PBE).

a = 6.5187 Å, b = 7.6888 Å, c = 7.6888 Å
α = 92.52°, β = 74.67°, γ = 74.67°
Each line ends with the local moment (μB).
Fractional coordinates of all 20 atoms:
K 0.2500 0.9195 0.0805  0.00
K 0.7500 0.0805 0.9195  0.00
Pd 0.2500 0.2514 0.7486  0.67
Pd 0.7500 0.7486 0.2514  0.67
O 0.7049 0.7407 0.9280  0.03
O 0.4452 0.4285 0.3502  0.02
O 0.9452 0.3502 0.4285  0.02
O 0.0548 0.6498 0.5715  0.02
O 0.2951 0.2593 0.0720  0.03
O 0.9076 0.3576 0.8389  0.02
O 0.5924 0.1611 0.6424  0.02
O 0.4076 0.8389 0.3576  0.02
O 0.0924 0.6424 0.1611  0.02
O 0.5548 0.5715 0.6498  0.02
O 0.7951 0.0720 0.2593  0.03
O 0.2049 0.9280 0.7407  0.03
Nb 0.8186 0.5660 0.7356  0.04
Nb 0.3186 0.7356 0.5660  0.04
Nb 0.6814 0.2644 0.4340  0.04
Nb 0.1814 0.4340 0.2644  0.04

The density of states at the Fermi level comes out at 1.61 states/eV/f.u. The calculation puts the uncorrected formation energy at -1.959 eV/atom.



Number 1: E_tot -5.09 eV/atom. Number 2: E_tot -8.75 eV/atom. Number 3: E_tot -7.19 eV/atom. Number 4: E_tot -5.57 eV/atom. Number 5: E_tot -3.22 eV/atom. Number 6: E_tot -3.70 eV/atom. Number 7: E_tot -4.61 eV/atom. Number 8: E_tot -7.58 eV/atom.